A plane-wave DFT calculation with PBE-GGA was carried out for a geometry-optimized NdDyGa4Pt2 structure.

Unit cell a=6.7699 b=5.6159 c=5.6159 alpha=46.08 beta=90.00 gamma=90.00
With the nearest neighbours (Å) after each atom.
Atoms (fractional coordinates):
Dy (0.0000, 0.0832, 0.0832)  3 Pt 2.98-3.10, 6 Ga 3.04-3.21
Ga (0.1943, 0.3664, 0.3664)  2 Ga 2.63-2.84, 3 Pt 2.65-2.67
Ga (0.8057, 0.3664, 0.3664)  2 Ga 2.63-2.84, 3 Pt 2.65-2.67
Ga (0.3010, 0.6322, 0.6322)  3 Pt 2.64-2.69, 2 Ga 2.69-2.84
Ga (0.6990, 0.6322, 0.6322)  3 Pt 2.64-2.69, 2 Ga 2.69-2.84
Nd (0.5000, 0.9186, 0.9186)  3 Pt 2.97-3.11, 6 Ga 3.07-3.25
Pt (0.5000, 0.2059, 0.2059)  6 Ga 2.65-2.69, 1 Nd 2.97
Pt (0.0000, 0.7950, 0.7950)  6 Ga 2.64-2.67

Properties
Final energy = -5.10 eV/atom